Computed, not measured: an optimized crystal structure of In2TcAs at the GGA-PBEsol level of DFT.

Raw total energy, eV/atom: -5.20
Calculated density, Mg/m³: 8.79
Crystal system: trigonal
Spin magnetization, μB/cell: 0.0
N(E_F), states/eV/cell: 3.1

Lattice parameters (Å, degrees): 9.765 9.765 9.765 17.82 17.82 17.82
Fractional coordinates of all 4 atoms:
1 In 0.242 0.242 0.242
2 In 0.758 0.758 0.758
3 Tc 0.500 0.500 0.500
4 As 0.000 0.000 0.000

Computed, not measured: an optimized crystal structure of RbMnSi2H at the GGA-PBEsol level of DFT.

Raw total energy, eV/atom: -4.20
Calculated density, Mg/m³: 3.62
Crystal system: tetragonal
Spin magnetization, μB/cell: 3.6
N(E_F), states/eV/cell: 2.8

Lattice parameters (Å, degrees): 5.330 5.330 3.188 90.00 90.00 90.00
Fractional coordinates of all 5 atoms:
1 Rb 0.000 0.000 0.000
2 Mn 0.500 0.500 0.000
3 Si 0.000 0.500 0.500
4 Si 0.500 0.000 0.500
5 H 0.500 0.500 0.500

Computed, not measured: an optimized crystal structure of Y2ReSe at the GGA-PBEsol level of DFT.

E_form (uncorrected), meV/atom: -176
Calculated density, Mg/m³: 8.39
Crystal system: trigonal
Spin magnetization, μB/cell: 0.0
N(E_F), states/eV/cell: 4.3

Lattice parameters (Å, degrees): 5.778 5.778 5.778 44.97 44.97 44.97
Fractional coordinates of all 4 atoms:
1 Y 0.000 0.000 0.000
2 Y 0.199 0.199 0.199
3 Re 0.774 0.774 0.774
4 Se 0.421 0.421 0.421

Computed, not measured: an optimized crystal structure of MgTe2Br at the GGA-PBEsol level of DFT.

E_form (uncorrected), meV/atom: -428
Calculated density, Mg/m³: 5.30
Crystal system: trigonal
Spin magnetization, μB/cell: 0.0
ΔE to the lowest computed polymorph, meV per atom: 0.0
N(E_F), states/eV/cell: 1.8

Lattice parameters (Å, degrees): 9.337 9.337 9.337 23.39 23.39 23.39
Fractional coordinates of all 4 atoms:
1 Mg 0.000 0.000 0.000
2 Te 0.260 0.260 0.260
3 Te 0.513 0.513 0.513
4 Br 0.722 0.722 0.722

Computed, not measured: an optimized crystal structure of Hg2TeRh at the GGA-PBEsol level of DFT.

E_form (uncorrected), meV/atom: 443
Calculated density, Mg/m³: 12.81
Crystal system: cubic
Spin magnetization, μB/cell: 0.0
ΔE to the lowest computed polymorph, meV per atom: 191.9
N(E_F), states/eV/cell: 4.2

Lattice parameters (Å, degrees): 4.874 4.874 4.874 60.00 60.00 60.00
Fractional coordinates of all 4 atoms:
1 Hg 0.250 0.250 0.250
2 Hg 0.750 0.750 0.750
3 Te 0.000 0.000 0.000
4 Rh 0.500 0.500 0.500

Computed, not measured: an optimized crystal structure of YPt2 at the GGA-PBEsol level of DFT.

Raw total energy, eV/atom: -7.70
Calculated density, Mg/m³: 12.72
Crystal system: tetragonal
Spin magnetization, μB/cell: 0.0
N(E_F), states/eV/cell: 1.4

Lattice parameters (Å, degrees): 3.844 3.844 4.234 90.00 90.00 90.00
Fractional coordinates of all 3 atoms:
1 Y 0.000 0.000 0.000
2 Pt 0.000 0.500 0.500
3 Pt 0.500 0.000 0.500

Computed, not measured: an optimized crystal structure of AlCr2B at the GGA-PBEsol level of DFT.

Raw total energy, eV/atom: -7.61
Calculated density, Mg/m³: 5.32
Crystal system: tetragonal
Spin magnetization, μB/cell: 0.0
N(E_F), states/eV/cell: 5.7

Lattice parameters (Å, degrees): 4.980 4.980 4.980 101.57 101.57 126.78
Fractional coordinates of all 8 atoms:
1 Al 0.000 0.000 0.000
2 Al 0.750 0.250 0.500
3 Cr 0.183 0.625 0.058
4 Cr 0.375 0.433 0.558
5 Cr 0.567 0.125 0.942
6 Cr 0.875 0.817 0.442
7 B 0.250 0.750 0.500
8 B 0.500 0.500 0.000

Computed, not measured: an optimized crystal structure of Be2Ru2C at the GGA-PBEsol level of DFT.

Raw total energy, eV/atom: -5.95
Calculated density, Mg/m³: 6.26
Crystal system: tetragonal
Spin magnetization, μB/cell: 0.0
N(E_F), states/eV/cell: 4.5

Lattice parameters (Å, degrees): 5.871 5.871 5.871 146.45 146.45 48.19
Fractional coordinates of all 5 atoms:
1 Be 0.095 0.095 0.000
2 Be 0.905 0.905 0.000
3 Ru 0.250 0.750 0.500
4 Ru 0.750 0.250 0.500
5 C 0.500 0.500 0.000